Entry 1:
Below is a geometry-optimized Fe3B structure, with properties calculated at the GGA-PBE level.

Structure (POSCAR):
```
Fe3B
1.0
5.139 -0.051 3.807
-4.174 4.004 -2.730
-4.071 -2.418 4.299
Fe B
12 4
direct
0.410 0.911 0.312
0.816 0.319 0.100
0.902 0.590 0.502
0.750 0.893 0.140
0.681 0.780 0.497
0.391 0.250 0.143
0.089 0.401 0.498
0.599 0.098 0.688
0.283 0.184 0.503
0.753 0.609 0.860
0.220 0.717 0.900
0.107 0.247 0.857
0.248 0.460 0.205
0.255 0.043 0.795
0.540 0.745 0.788
0.957 0.752 0.212
```

Values from the calculation:
calculated formation energy: -210 meV per atom
total DFT energy (no corrections): -131.62 eV for the cell shown
density of states at the Fermi level: 3.3 states/eV/f.u.



Entry 2:
Below is a geometry-optimized Sc5As2Se structure, with properties calculated at the GGA-PBE level.

Structure (POSCAR):
```
Sc5As2Se
1.0
-5.353 -1.368 -4.661
5.482 -1.550 -5.841
0.139 -10.340 2.875
Sc As Se
20 8 4
direct
0.692 0.053 0.430
0.840 0.750 0.222
0.308 0.553 0.570
0.192 0.947 0.070
0.808 0.447 0.930
0.351 0.750 0.293
0.660 0.750 0.722
0.192 0.553 0.070
0.160 0.250 0.778
0.027 0.250 0.498
0.808 0.053 0.930
0.692 0.447 0.430
0.340 0.250 0.278
0.649 0.250 0.707
0.308 0.947 0.570
0.851 0.250 0.207
0.973 0.750 0.502
0.473 0.250 0.998
0.149 0.750 0.793
0.527 0.750 0.002
0.932 0.492 0.673
0.568 0.008 0.173
0.068 0.992 0.327
0.432 0.508 0.827
0.568 0.492 0.173
0.932 0.008 0.673
0.068 0.508 0.327
0.432 0.992 0.827
0.916 0.750 0.983
0.584 0.750 0.483
0.084 0.250 0.017
0.416 0.250 0.517
```

Values from the calculation:
formation energy from raw total energies: -1.144 eV per atom
total DFT energy (no corrections): -214.38 eV for the cell shown
density of states at the Fermi level: 6.1 states/eV/f.u.



Entry 3:
Below is a geometry-optimized AcNd2Ga2Cu2 structure, with properties calculated at the GGA-PBE level.

Structure (POSCAR):
```
AcNd2Ga2Cu2
1.0
-3.725 -0.150 2.585
-3.174 -3.147 -0.776
2.188 -7.134 6.721
Ac Ga Nd Cu
1 2 2 2
direct
0.000 0.000 0.000
0.743 0.743 0.771
0.257 0.257 0.229
0.874 0.874 0.379
0.126 0.126 0.621
0.406 0.406 0.782
0.594 0.594 0.218
```

Values from the calculation:
calculated formation energy: -363 meV per atom
total DFT energy (no corrections): -30.43 eV for the cell shown
density of states at the Fermi level: 5.0 states/eV/f.u.



Entry 4:
Below is a geometry-optimized Pm4Nd3Dy3 structure, with properties calculated at the GGA-PBE level.

Structure (POSCAR):
```
Pm4Nd3Dy3
1.0
3.799 0.000 0.000
0.000 9.489 -0.076
0.000 0.007 9.490
Dy Nd Pm
3 3 4
direct
0.000 0.002 0.504
0.500 0.171 0.829
0.000 0.496 0.998
0.500 0.329 0.330
0.500 0.670 0.671
0.500 0.830 0.170
0.000 0.630 0.370
0.000 0.873 0.869
0.000 0.131 0.127
0.000 0.369 0.631
```

Values from the calculation:
calculated formation energy: 110 meV per atom
total DFT energy (no corrections): -46.01 eV for the cell shown
density of states at the Fermi level: 9.9 states/eV/f.u.



Entry 5:
Below is a geometry-optimized Pr5Y2Ho12 structure, with properties calculated at the GGA-PBE level.

Structure (POSCAR):
```
Pr5Y2Ho12
1.0
-1.660 6.569 1.984
-7.694 -6.060 1.067
-0.622 -3.159 9.940
Y Ho Pr
2 12 5
direct
0.729 0.000 0.000
0.271 0.000 0.000
0.498 0.995 0.675
0.405 0.316 0.131
0.584 0.674 0.521
0.975 0.950 0.247
0.595 0.684 0.869
0.502 0.005 0.325
0.416 0.326 0.479
0.910 0.326 0.479
0.090 0.674 0.521
0.089 0.684 0.869
0.025 0.050 0.753
0.911 0.316 0.131
0.188 0.375 0.818
0.000 0.000 0.500
0.682 0.363 0.788
0.812 0.625 0.182
0.318 0.637 0.212
```

Values from the calculation:
calculated formation energy: 180 meV per atom
total DFT energy (no corrections): -88.33 eV for the cell shown
density of states at the Fermi level: 27.5 states/eV/f.u.



Entry 6:
Below is a geometry-optimized Hf4AlZn structure, with properties calculated at the GGA-PBE level.

Structure (POSCAR):
```
Hf4AlZn
1.0
-1.011 -1.479 -4.673
4.592 -5.138 0.632
-4.985 -4.161 2.395
Hf Zn Al
8 2 2
direct
0.000 0.150 0.651
0.500 0.651 0.150
0.500 0.850 0.651
0.000 0.850 0.349
0.000 0.651 0.850
0.000 0.349 0.150
0.500 0.150 0.349
0.500 0.349 0.850
0.750 0.000 0.000
0.250 0.000 0.000
0.750 0.500 0.500
0.250 0.500 0.500
```

Values from the calculation:
distance to the lowest polymorph of the same formula: 21 meV/atom
calculated formation energy: -190 meV per atom
total DFT energy (no corrections): -91.94 eV for the cell shown
density of states at the Fermi level: 5.2 states/eV/f.u.



Entry 7:
Below is a geometry-optimized Tb6Co2Ag structure, with properties calculated at the GGA-PBE level.

Structure (POSCAR):
```
Tb6Co2Ag
1.0
7.866 0.019 -2.752
-4.201 6.775 -2.429
0.024 -0.019 8.333
Tb Co Ag
12 4 2
direct
0.688 0.012 0.324
0.312 0.636 0.324
0.536 0.717 0.819
0.464 0.283 0.181
0.800 0.768 0.568
0.800 0.232 0.033
0.898 0.717 0.181
0.200 0.768 0.967
0.102 0.283 0.819
0.312 0.988 0.676
0.688 0.364 0.676
0.200 0.232 0.432
0.500 0.386 0.886
0.658 0.000 0.658
0.342 0.000 0.342
0.500 0.614 0.114
0.000 0.000 0.000
0.000 0.500 0.500
```

Values from the calculation:
distance to the lowest polymorph of the same formula: 0 meV/atom
calculated formation energy: -191 meV per atom
total DFT energy (no corrections): -93.12 eV for the cell shown
density of states at the Fermi level: 9.6 states/eV/f.u.



Entry 8:
Below is a geometry-optimized K2CoTc structure, with properties calculated at the GGA-PBE level.

Structure (POSCAR):
```
K2CoTc
1.0
6.296 0.119 0.000
-3.922 4.926 0.000
0.000 0.000 2.688
Co K Tc
1 2 1
direct
0.000 0.500 0.500
0.000 0.000 0.000
0.500 0.500 0.000
0.500 0.000 0.500
```

Values from the calculation:
distance to the lowest polymorph of the same formula: 650 meV/atom
calculated formation energy: 1419 meV per atom
total DFT energy (no corrections): -13.99 eV for the cell shown
density of states at the Fermi level: 3.2 states/eV/f.u.